No. 1
The following is a GGA-PBE calculation of crystalline AlSeCl at its relaxed geometry, from Alexandria via LeMat-Bulk.

a b c (Å): 7.5117 7.5117 7.5117
angles (deg): 153.45 153.45 37.90
Last column: nearest neighbours and their distance in Å.
Atoms (fractional coordinates):
Al1 0.1401 0.1401 0.0000  1 Cl 2.09
Se1 0.5729 0.5729 0.0000  4 Al 2.62
Cl1 0.2871 0.2871 0.0000  1 Al 2.09

Calculated values
total magnetization: 0.000 Bohr magnetons per cell
VASP energy: -0.287 Ry/atom
E_form (uncorrected): -85.2 kJ per mole of atoms
space group: I4mm

---

No. 2
The following is a GGA-PBE calculation of crystalline AlSe2Cl at its relaxed geometry, from Alexandria via LeMat-Bulk.

a b c (Å): 3.4360 3.4347 6.9874
angles (deg): 90.00 90.00 90.00
Last column: nearest neighbours and their distance in Å.
Atoms (fractional coordinates):
Al1 0.5000 0.5000 0.2500  8 Se 2.76
Se1 0.0000 0.0000 0.0634  1 Se 2.61, 4 Al 2.76
Se2 0.0000 0.0000 0.4366  1 Se 2.61, 4 Al 2.76
Cl1 0.5000 0.5000 0.7500  8 Se 3.27, 4 Cl 3.43-3.44, 2 Al 3.49

Calculated values
total magnetization: 0.000 Bohr magnetons per cell
VASP energy: -0.239 Ry/atom
E_form (uncorrected): -10.2 kJ per mole of atoms
space group: P4/mmm

---

No. 3
The following is a GGA-PBE calculation of crystalline AlSe2Cl at its relaxed geometry, from Alexandria via LeMat-Bulk.

a b c (Å): 5.8513 5.8513 5.8513
angles (deg): 146.75 107.23 82.39
Last column: nearest neighbours and their distance in Å.
Atoms (fractional coordinates):
Al1 0.4901 0.4901 0.0000  2 Cl 2.33, 2 Se 2.47
Se1 0.0521 0.0521 0.0000  2 Se 2.64
Se2 0.2835 0.7835 0.5000  2 Al 2.47, 2 Se 2.64
Cl1 0.6743 0.1743 0.5000  2 Al 2.33

Calculated values
total magnetization: 0.000 Bohr magnetons per cell
VASP energy: -0.246 Ry/atom
E_form (uncorrected): -20.2 kJ per mole of atoms
space group: Imm2